## BaNbCr2Ir (PBE)

Data for a relaxed structure of BaNbCr2Ir.

## Properties
Crystal system: tetragonal
Formation energy from the elements: 2.552 eV/atom

Cell lengths 4.876, 4.876, 5.052 Å; angles 90.00, 90.00, 90.00 degrees
Fractional coordinates of all 5 atoms:
Ba  0.000  0.000  0.000
Nb  0.500  0.500  0.500
Cr  0.000  0.500  0.000
Cr  0.500  0.000  0.000
Ir  0.000  0.000  0.500

## LiCaCu6Si (PBE)

Data for a relaxed structure of LiCaCu6Si.

## Properties
Crystal system: orthorhombic
Raw formation energy: 0.117 eV/atom

Cell lengths 7.390, 7.390, 7.390 Å; angles 128.08, 109.12, 93.19 degrees
Fractional coordinates of all 18 atoms:
Li  0.500  0.000  0.000
Li  0.500  0.500  0.500
Ca  0.038  0.288  0.750
Ca  0.962  0.712  0.250
Cu  0.130  0.312  0.196
Cu  0.130  0.934  0.818
Cu  0.261  0.011  0.250
Cu  0.320  0.570  0.750
Cu  0.385  0.066  0.696
Cu  0.385  0.688  0.318
Cu  0.615  0.312  0.682
Cu  0.615  0.934  0.304
Cu  0.680  0.430  0.250
Cu  0.739  0.989  0.750
Cu  0.870  0.066  0.182
Cu  0.870  0.688  0.804
Si  0.000  0.500  0.500
Si  0.500  0.500  0.000

## NaSb2IN (PBE)

Data for a relaxed structure of NaSb2IN.

## Properties
Crystal system: tetragonal
Energy above the most stable polymorph in this dataset: 1.359 eV per atom
Raw formation energy: 1.869 eV/atom

Cell lengths 5.454, 5.454, 5.432 Å; angles 90.00, 90.00, 90.00 degrees
Fractional coordinates of all 5 atoms:
Na  0.000  0.000  0.000
Sb  0.000  0.500  0.000
Sb  0.500  0.000  0.000
I  0.000  0.000  0.500
N  0.500  0.500  0.500

## Tb5Dy7 (PBE)

Data for a relaxed structure of Tb5Dy7.

## Properties
Crystal system: monoclinic
Energy above the most stable polymorph in this dataset: 0.000 eV per atom
Formation energy from the elements: 0.003 eV/atom

Cell lengths 9.408, 9.408, 13.035 Å; angles 117.64, 117.64, 21.77 degrees
Fractional coordinates of all 12 atoms:
Tb  0.000  0.000  0.000
Tb  0.167  0.167  0.500
Tb  0.306  0.306  0.250
Tb  0.694  0.694  0.750
Tb  0.833  0.833  0.500
Dy  0.028  0.028  0.750
Dy  0.333  0.333  0.000
Dy  0.361  0.361  0.750
Dy  0.500  0.500  0.500
Dy  0.639  0.639  0.250
Dy  0.667  0.667  0.000
Dy  0.972  0.972  0.250

## ScMnAg (PBE)

Data for a relaxed structure of ScMnAg.

## Properties
Crystal system: trigonal
Energy above the most stable polymorph in this dataset: 0.081 eV per atom
Formation energy from the elements: 0.124 eV/atom

Cell lengths 4.590, 4.590, 3.093 Å; angles 90.00, 90.00, 120.00 degrees
Fractional coordinates of all 3 atoms:
Sc  0.000  0.000  0.000
Mn  0.667  0.333  0.541
Ag  0.333  0.667  0.444

## Mg8Cu2Ni (PBE)

Data for a relaxed structure of Mg8Cu2Ni.

## Properties
Crystal system: monoclinic
Formation energy from the elements: -0.053 eV/atom

Cell lengths 7.858, 7.858, 6.476 Å; angles 111.08, 111.08, 33.40 degrees
Fractional coordinates of all 11 atoms:
Mg  0.024  0.024  0.285
Mg  0.188  0.188  0.770
Mg  0.336  0.336  0.562
Mg  0.400  0.400  0.062
Mg  0.600  0.600  0.938
Mg  0.664  0.664  0.438
Mg  0.812  0.812  0.230
Mg  0.976  0.976  0.715
Cu  0.182  0.182  0.179
Cu  0.818  0.818  0.821
Ni  0.500  0.500  0.500

| no. | ρ (g/cm³) |
| --- | --- |
| 1 | 7.28 |
| 2 | 5.38 |
| 3 | 4.19 |
| 4 | 8.50 |
| 5 | 6.11 |
| 6 | 3.09 |